Version 1
Ag2MoAu, relaxed, DFT PBE; space-group type = I-4m2 (119)
1.0
4.824 -0.042 0.000
1.035 4.712 0.000
-2.929 -2.335 3.040
Ag Mo Au
2 1 1
Cartesian
0.517 2.356 1.520
0.000 0.000 0.000
2.412 -0.021 1.520
2.929 2.335 0.000

Version 2
Ag2MoAu, relaxed, DFT PBE; space-group type = R3m (160)
1.0
-9.408 -2.105 -1.244
-9.218 -2.646 1.585
-9.698 0.046 0.660
Mo Ag Au
1 2 1
Cartesian
-21.274 -3.534 0.752
-0.029 -0.005 0.001
-7.078 -1.176 0.250
-14.105 -2.343 0.499

Version 3
Ag2MoAu, relaxed, DFT PBE; space-group type = C2/m (12)
1.0
-1.921 -0.958 -4.615
-0.422 -3.194 -3.940
-4.245 -2.371 1.570
Ag Mo Au
2 1 1
Cartesian
-2.360 -4.155 -8.526
-3.277 -3.259 -3.522
-1.647 -1.631 -1.746
-4.941 -4.893 -5.239

Which of them is most stable, and which least? Most stable: version 2; least stable: version 1.

Version 1
Ag2MoAu, relaxed, DFT PBE; space-group type = I4/mmm (139)
1.0
5.139 -0.003 0.000
1.892 4.778 0.000
-3.515 -2.388 2.890
Ag Au Mo
2 1 1
Cartesian
3.515 2.388 0.000
0.000 0.000 0.000
0.946 2.389 1.445
2.570 -0.001 1.445

Version 2
Ag2MoAu, relaxed, DFT PBE; space-group type = Imm2 (44)
1.0
5.812 0.003 0.005
2.930 5.019 -0.005
-3.597 -3.857 2.440
Mo Ag Au
1 2 1
Cartesian
1.904 1.866 1.218
3.264 -0.688 1.223
0.015 0.009 0.000
4.333 2.489 0.000

Which of them is most stable, and which least? Most stable: version 2; least stable: version 1.

Version 1
Ag2MoAu, relaxed, DFT PBE; space-group type = F-43m (216)
1.0
-2.819 -3.597 0.647
0.731 -2.903 3.513
-2.893 -0.047 3.595
Ag Mo Au
2 1 1
Cartesian
-3.736 -4.910 5.816
0.000 0.000 0.000
-1.245 -1.637 1.939
-2.491 -3.273 3.877

Version 2
Ag2MoAu, relaxed, DFT PBE; space-group type = Cmmm (65)
1.0
2.752 0.429 0.000
-0.421 2.753 0.000
0.000 0.000 8.858
Ag Au Mo
2 1 1
Cartesian
0.000 0.000 4.461
0.000 0.000 8.825
1.165 1.591 2.214
1.165 1.591 6.643

Which of them is most stable, and which least? Most stable: version 2; least stable: version 1.

Version 1
AgAuSeN2, relaxed, DFT PBE; space-group type = P4/mmm (123)
1.0
-2.460 3.018 0.736
-2.850 -1.821 -2.065
-2.017 -2.959 5.394
Ag Au Se N
1 1 1 2
Cartesian
-3.664 -0.881 2.033
0.000 0.000 0.000
-1.008 -1.480 2.697
-1.425 -0.910 -1.032
-1.230 1.509 0.368

Version 2
AgAuSeN2, relaxed, DFT PBE; space-group type = P4/mmm (123)
1.0
4.000 0.000 0.000
0.000 4.000 0.000
0.000 0.000 6.236
Ag Au N Se
1 1 2 1
Cartesian
0.000 0.000 0.000
2.000 2.000 3.118
0.000 2.000 0.000
2.000 0.000 0.000
0.000 0.000 3.118

Which of them is most stable, and which least? Most stable: version 1; least stable: version 2.

Version 1
NaAg4Au4, relaxed, DFT PBE; space-group type = I4/mmm (139)
1.0
3.900 0.000 1.321
1.950 6.311 0.660
-0.074 0.000 6.638
Ag Au Na
4 4 1
Cartesian
3.900 4.180 1.321
1.266 0.000 2.679
1.875 2.131 7.298
4.509 6.311 5.940
4.498 2.098 5.971
3.227 2.098 3.308
1.277 4.213 2.647
2.548 4.213 5.311
0.000 0.000 0.000

Version 2
NaAg4Au4, relaxed, DFT PBE; space-group type = I4/m (87)
1.0
4.923 0.000 0.000
0.000 9.416 0.000
0.000 0.000 9.416
Au Ag Na
8 8 2
Cartesian
2.462 7.559 2.889
2.461 2.889 1.857
0.000 7.597 6.565
0.000 1.819 2.851
4.923 6.565 1.819
2.461 6.527 7.559
2.462 1.857 6.527
4.923 2.851 7.597
0.000 3.766 0.949
2.462 5.657 0.942
2.461 8.474 5.657
4.923 0.949 5.650
2.462 3.759 8.474
4.923 8.467 3.766
2.461 0.942 3.759
0.000 5.650 8.467
2.461 4.708 4.708
0.000 0.000 0.000

Which of them is most stable, and which least? Most stable: version 1; least stable: version 2.

Version 1
NaAg2Au, relaxed, DFT PBE; space-group type = I-42d (122)
1.0
-2.042 2.668 -2.291
0.920 -2.151 -3.326
-8.985 -5.174 -1.626
Na Ag Au
2 4 2
Cartesian
-4.313 -3.533 -3.880
-0.561 0.259 -2.808
-3.435 0.142 -2.285
-1.898 -2.341 -2.740
-7.708 -3.457 -6.180
-7.172 -3.657 -3.280
-5.794 -1.124 -3.363
0.000 0.000 0.000

Version 2
NaAg2Au, relaxed, DFT PBE; space-group type = P4/mmm (123)
1.0
3.532 0.000 0.000
0.000 3.532 0.000
0.000 0.000 6.378
Na Au Ag
1 1 2
Cartesian
1.766 1.766 3.189
1.766 1.766 0.000
0.000 0.000 4.924
0.000 0.000 1.455

Which of them is most stable, and which least? Most stable: version 2; least stable: version 1.

Version 1
NaAg2Au, relaxed, DFT PBE; space-group type = Fm-3m (225)
1.0
0.000 3.366 3.366
3.366 0.000 3.366
3.366 3.366 0.000
Ag Na Au
2 1 1
Cartesian
1.683 1.683 1.683
5.048 5.048 5.048
0.000 0.000 0.000
3.366 3.366 3.366

Version 2
NaAg2Au, relaxed, DFT PBE; space-group type = P4/mmm (123)
1.0
4.202 0.000 0.000
0.000 4.231 0.000
0.000 0.000 4.231
Au Na Ag
1 1 2
Cartesian
2.101 0.000 0.000
2.101 2.115 2.115
0.000 0.000 2.115
0.000 2.115 0.000

Which of them is most stable, and which least? Most stable: version 2; least stable: version 1.

Version 1
Na7Ag2Au2, relaxed, DFT PBE; space-group type = Cmmm (65)
1.0
-0.926 1.132 -6.385
-5.641 -5.439 -0.147
-3.721 3.755 3.868
Au Na Ag
2 7 2
Cartesian
-2.939 3.021 1.000
-7.349 -3.573 -3.664
-3.623 1.192 -1.290
-8.151 0.495 0.569
-2.137 -1.047 -3.233
0.000 0.000 0.000
-5.827 -1.949 1.828
-4.461 1.398 -4.492
-6.665 -1.744 -1.374
-3.700 -1.795 -0.550
-6.588 1.243 -2.115

Version 2
Na7Ag2Au2, relaxed, DFT PBE; space-group type = C2/m (12)
1.0
-2.971 -5.182 -0.748
5.299 -2.628 1.115
-2.216 1.851 7.300
Na Ag Au
7 2 2
Cartesian
0.462 -0.362 6.422
2.786 -4.629 1.952
0.687 -5.474 4.454
0.000 0.000 0.000
-0.574 -0.485 3.214
-2.673 -1.330 5.715
-0.349 -5.597 1.246
-1.385 -3.425 3.509
1.498 -2.534 4.158
-0.387 -3.326 6.278
0.500 -2.632 1.389

Which of them is most stable, and which least? Most stable: version 2; least stable: version 1.